DFT (PBE) results for a geometry-optimized DyNi4Sn structure.

abc: 8.903 8.903 4.075
angles: 90.00 90.00 120.00
Fractional coordinates of all 18 atoms:
Ni 0.824 0.176 0.000
Ni 0.293 0.000 0.500
Ni 0.352 0.176 0.000
Ni 0.707 0.000 0.500
Ni 0.293 0.293 0.500
Ni 0.824 0.648 0.000
Ni 0.176 0.824 0.000
Ni 0.707 0.707 0.500
Ni 0.000 0.293 0.500
Ni 0.176 0.352 0.000
Ni 0.648 0.824 0.000
Ni 0.000 0.707 0.500
Dy 0.000 0.000 0.000
Dy 0.667 0.333 0.500
Dy 0.333 0.667 0.500
Sn 0.000 0.500 0.000
Sn 0.500 0.000 0.000
Sn 0.500 0.500 0.000

Output
Excess energy over the best structure of this formula in the dataset: 1.8 kJ/mol of atoms

***

DFT (PBE) results for a geometry-optimized Dy2NiSn6 structure.

abc: 11.582 11.582 4.433
angles: 90.00 90.00 158.25
Fractional coordinates of all 9 atoms:
Sn 0.571 0.429 0.000
Sn 0.931 0.069 0.500
Sn 0.429 0.571 0.000
Sn 0.069 0.931 0.500
Sn 0.795 0.205 0.000
Sn 0.205 0.795 0.000
Dy 0.678 0.322 0.500
Dy 0.322 0.678 0.500
Ni 0.000 0.000 0.000

Output
Electronic total energy: -43.2 eV/cell

***

DFT (PBE) results for a geometry-optimized DyNiSn4 structure.

abc: 14.376 14.376 4.530
angles: 90.00 90.00 162.30
Fractional coordinates of all 12 atoms:
Sn 0.000 0.000 0.000
Sn 0.891 0.109 0.000
Sn 0.500 0.500 0.500
Sn 0.109 0.891 0.000
Sn 0.392 0.608 0.500
Sn 0.714 0.286 0.000
Sn 0.608 0.392 0.500
Sn 0.286 0.714 0.000
Ni 0.552 0.448 0.000
Ni 0.448 0.552 0.000
Dy 0.806 0.194 0.500
Dy 0.194 0.806 0.500

Output
Electronic total energy: -56.9 eV/cell

***

DFT (PBE) results for a geometry-optimized DyNiSn3 structure.

abc: 6.026 6.122 12.384
angles: 90.00 90.00 90.00
Fractional coordinates of all 20 atoms:
Ni 0.000 0.750 0.890
Ni 0.500 0.250 0.110
Ni 0.500 0.750 0.890
Ni 0.000 0.250 0.110
Sn 0.250 0.593 0.052
Sn 0.750 0.020 0.776
Sn 0.750 0.520 0.224
Sn 0.000 0.750 0.497
Sn 0.500 0.250 0.503
Sn 0.250 0.093 0.948
Sn 0.750 0.907 0.052
Sn 0.500 0.750 0.497
Sn 0.000 0.250 0.503
Sn 0.250 0.980 0.224
Sn 0.750 0.407 0.948
Sn 0.250 0.480 0.776
Dy 0.750 0.516 0.699
Dy 0.750 0.016 0.301
Dy 0.250 0.484 0.301
Dy 0.250 0.984 0.699

Output
Electronic total energy: -98.2 eV/cell

***

| no. | DOS at the Fermi energy (states/eV/f.u.) |
| --- | --- |
| 1 | 4.90 |
| 2 | 2.09 |
| 3 | 3.15 |
| 4 | 2.47 |